# GGA-PBE Sc2TaV2, optimized geometry
# mass density: 6.5 Mg/m³
# ΔE_f: 339 meV/atom
# DOS(E_F): 1.34 states/eV per atom
# total moment: 1.2 μB per cell
data_Sc2TaV2
_chemical_formula_sum 'Sc4 Ta2 V4'
_cell_length_a 6.438
_cell_length_b 6.438
_cell_length_c 4.605
_cell_angle_alpha 90.00
_cell_angle_beta 90.00
_cell_angle_gamma 90.00
_symmetry_space_group_name_H-M 'P 4/m b m'
_symmetry_Int_Tables_number 127
_symmetry_space_group_name_Hall '-P 4 2ab'
loop_
_atom_site_label
_atom_site_type_symbol
_atom_site_fract_x
_atom_site_fract_y
_atom_site_fract_z
Sc1 Sc 0.171 0.329 0.000
Ta1 Ta 0.000 0.000 0.500
V1 V 0.135 0.635 0.500

***

# GGA-PBE ScTa2V2, optimized geometry
# mass density: 9.5 Mg/m³
# ΔE_f: 229 meV/atom
# DOS(E_F): 0.93 states/eV per atom
# total moment: 0.0 μB per cell
data_ScTa2V2
_chemical_formula_sum 'Sc2 Ta4 V4'
_cell_length_a 7.384
_cell_length_b 7.384
_cell_length_c 3.262
_cell_angle_alpha 90.00
_cell_angle_beta 90.00
_cell_angle_gamma 90.00
_symmetry_space_group_name_H-M 'P 4/m b m'
_symmetry_Int_Tables_number 127
_symmetry_space_group_name_Hall '-P 4 2ab'
loop_
_atom_site_label
_atom_site_type_symbol
_atom_site_fract_x
_atom_site_fract_y
_atom_site_fract_z
Sc1 Sc 0.000 0.000 0.000
Ta1 Ta 0.150 0.350 0.500
V1 V 0.137 0.637 0.000

***

# GGA-PBE Sc3TaV, optimized geometry
# mass density: 5.6 Mg/m³
# ΔE_f: 933 meV/atom
# DOS(E_F): 1.60 states/eV per atom
# polymorph energy (0 for the lowest one): 0.000 eV/atom
# total moment: 0.2 μB per cell
data_Sc3TaV
_chemical_formula_sum 'Sc3 Ta1 V1'
_cell_length_a 4.771
_cell_length_b 4.771
_cell_length_c 4.771
_cell_angle_alpha 90.00
_cell_angle_beta 90.00
_cell_angle_gamma 90.00
_symmetry_space_group_name_H-M 'P m -3 m'
_symmetry_Int_Tables_number 221
_symmetry_space_group_name_Hall '-P 4 2 3'
loop_
_atom_site_label
_atom_site_type_symbol
_atom_site_fract_x
_atom_site_fract_y
_atom_site_fract_z
Sc1 Sc 0.000 0.000 0.500
Ta1 Ta 0.500 0.500 0.500
V1 V 0.000 0.000 0.000

***

# GGA-PBE Sc3TaW, optimized geometry
# mass density: 6.8 Mg/m³
# ΔE_f: 1158 meV/atom
# DOS(E_F): 1.28 states/eV per atom
# polymorph energy (0 for the lowest one): 0.000 eV/atom
# total moment: 1.8 μB per cell
data_Sc3TaW
_chemical_formula_sum 'Sc3 Ta1 W1'
_cell_length_a 4.970
_cell_length_b 4.970
_cell_length_c 4.970
_cell_angle_alpha 90.00
_cell_angle_beta 90.00
_cell_angle_gamma 90.00
_symmetry_space_group_name_H-M 'P m -3 m'
_symmetry_Int_Tables_number 221
_symmetry_space_group_name_Hall '-P 4 2 3'
loop_
_atom_site_label
_atom_site_type_symbol
_atom_site_fract_x
_atom_site_fract_y
_atom_site_fract_z
Sc1 Sc 0.000 0.000 0.500
Ta1 Ta 0.500 0.500 0.500
W1 W 0.000 0.000 0.000

***

# GGA-PBE ScTaW2, optimized geometry
# mass density: 13.8 Mg/m³
# ΔE_f: 336 meV/atom
# DOS(E_F): 1.15 states/eV per atom
# polymorph energy (0 for the lowest one): 0.209 eV/atom
# total moment: 0.0 μB per cell
data_ScTaW2
_chemical_formula_sum 'Sc1 Ta1 W2'
_cell_length_a 2.735
_cell_length_b 4.714
_cell_length_c 5.519
_cell_angle_alpha 90.00
_cell_angle_beta 90.00
_cell_angle_gamma 90.00
_symmetry_space_group_name_H-M 'P m m 2'
_symmetry_Int_Tables_number 25
_symmetry_space_group_name_Hall 'P 2 -2'
loop_
_atom_site_label
_atom_site_type_symbol
_atom_site_fract_x
_atom_site_fract_y
_atom_site_fract_z
Sc1 Sc 0.000 0.000 0.000
Ta1 Ta 0.500 0.500 0.253
W1 W 0.000 0.000 0.505
W2 W 0.500 0.500 0.746

***

# GGA-PBE Sc2TaW, optimized geometry
# mass density: 9.5 Mg/m³
# ΔE_f: 560 meV/atom
# DOS(E_F): 1.30 states/eV per atom
# polymorph energy (0 for the lowest one): 0.458 eV/atom
# total moment: 0.0 μB per cell
data_Sc2TaW
_chemical_formula_sum 'Sc6 Ta3 W3'
_cell_length_a 2.9653
_cell_length_b 2.9653
_cell_length_c 31.2492
_cell_angle_alpha 90.00
_cell_angle_beta 90.00
_cell_angle_gamma 120.00
_symmetry_space_group_name_H-M 'R -3 m'
_symmetry_Int_Tables_number 166
_symmetry_space_group_name_Hall '-R 3 2"'
loop_
_atom_site_label
_atom_site_type_symbol
_atom_site_fract_x
_atom_site_fract_y
_atom_site_fract_z
Sc1 Sc 0.0000 0.0000 0.0869
Ta1 Ta 0.0000 0.0000 0.5000
W1 W 0.0000 0.0000 0.0000

***

# GGA-PBE ScTaW2, optimized geometry
# mass density: 13.8 Mg/m³
# ΔE_f: 127 meV/atom
# DOS(E_F): 1.01 states/eV per atom
# polymorph energy (0 for the lowest one): 0.000 eV/atom
# total moment: 0.0 μB per cell
data_ScTaW2
_chemical_formula_sum 'Sc2 Ta2 W4'
_cell_length_a 3.245
_cell_length_b 4.700
_cell_length_c 9.343
_cell_angle_alpha 90.00
_cell_angle_beta 90.00
_cell_angle_gamma 90.00
_symmetry_space_group_name_H-M 'I m m 2'
_symmetry_Int_Tables_number 44
_symmetry_space_group_name_Hall 'I 2 -2'
loop_
_atom_site_label
_atom_site_type_symbol
_atom_site_fract_x
_atom_site_fract_y
_atom_site_fract_z
Sc1 Sc 0.000 0.000 0.000
Ta1 Ta 0.000 0.500 0.768
W1 W 0.000 0.000 0.515
W2 W 0.000 0.500 0.238

***

# GGA-PBE ScTaW2, optimized geometry
# mass density: 13.8 Mg/m³
# ΔE_f: 315 meV/atom
# DOS(E_F): 0.73 states/eV per atom
# polymorph energy (0 for the lowest one): 0.188 eV/atom
# total moment: 0.0 μB per cell
data_ScTaW2
_chemical_formula_sum 'Sc2 Ta2 W4'
_cell_length_a 5.548
_cell_length_b 9.417
_cell_length_c 2.725
_cell_angle_alpha 90.00
_cell_angle_beta 90.00
_cell_angle_gamma 90.00
_symmetry_space_group_name_H-M 'C m m m'
_symmetry_Int_Tables_number 65
_symmetry_space_group_name_Hall '-C 2 2'
loop_
_atom_site_label
_atom_site_type_symbol
_atom_site_fract_x
_atom_site_fract_y
_atom_site_fract_z
Sc1 Sc 0.000 0.000 0.000
Ta1 Ta 0.000 0.500 0.000
W1 W 0.250 0.250 0.500

***

# GGA-PBE Sc2TaW, optimized geometry
# mass density: 9.9 Mg/m³
# ΔE_f: 170 meV/atom
# DOS(E_F): 0.93 states/eV per atom
# polymorph energy (0 for the lowest one): 0.068 eV/atom
# total moment: 0.0 μB per cell
data_Sc2TaW
_chemical_formula_sum 'Sc8 Ta4 W4'
_cell_length_a 6.742
_cell_length_b 6.742
_cell_length_c 6.742
_cell_angle_alpha 90.00
_cell_angle_beta 90.00
_cell_angle_gamma 90.00
_symmetry_space_group_name_H-M 'F -4 3 m'
_symmetry_Int_Tables_number 216
_symmetry_space_group_name_Hall 'F -4 2 3'
loop_
_atom_site_label
_atom_site_type_symbol
_atom_site_fract_x
_atom_site_fract_y
_atom_site_fract_z
Sc1 Sc 0.000 0.000 0.000
Sc2 Sc 0.250 0.250 0.250
Ta1 Ta 0.000 0.000 0.500
W1 W 0.250 0.250 0.750

***

# GGA-PBE Sc4TaW, optimized geometry
# mass density: 7.5 Mg/m³
# ΔE_f: 730 meV/atom
# DOS(E_F): 1.89 states/eV per atom
# total moment: 0.0 μB per cell
data_Sc4TaW
_chemical_formula_sum 'Sc16 Ta4 W4'
_cell_length_a 7.838
_cell_length_b 7.838
_cell_length_c 7.838
_cell_angle_alpha 90.00
_cell_angle_beta 90.00
_cell_angle_gamma 90.00
_symmetry_space_group_name_H-M 'F -4 3 m'
_symmetry_Int_Tables_number 216
_symmetry_space_group_name_Hall 'F -4 2 3'
loop_
_atom_site_label
_atom_site_type_symbol
_atom_site_fract_x
_atom_site_fract_y
_atom_site_fract_z
Sc1 Sc 0.125 0.125 0.125
Ta1 Ta 0.000 0.000 0.500
W1 W 0.250 0.250 0.750

***

# GGA-PBE ScTaW2, optimized geometry
# mass density: 14.1 Mg/m³
# ΔE_f: 163 meV/atom
# DOS(E_F): 0.90 states/eV per atom
# polymorph energy (0 for the lowest one): 0.036 eV/atom
# total moment: 0.0 μB per cell
data_ScTaW2
_chemical_formula_sum 'Sc2 Ta2 W4'
_cell_length_a 5.715
_cell_length_b 9.237
_cell_length_c 2.807
_cell_angle_alpha 90.00
_cell_angle_beta 109.09
_cell_angle_gamma 90.00
_symmetry_space_group_name_H-M 'C 1 2/m 1'
_symmetry_Int_Tables_number 12
_symmetry_space_group_name_Hall '-C 2y'
loop_
_atom_site_label
_atom_site_type_symbol
_atom_site_fract_x
_atom_site_fract_y
_atom_site_fract_z
Sc1 Sc 0.000 0.000 0.000
Ta1 Ta 0.000 0.500 0.000
W1 W 0.250 0.250 0.500

***

# GGA-PBE ScTaW2, optimized geometry
# mass density: 13.8 Mg/m³
# ΔE_f: 296 meV/atom
# DOS(E_F): 0.85 states/eV per atom
# polymorph energy (0 for the lowest one): 0.169 eV/atom
# total moment: 0.0 μB per cell
data_ScTaW2
_chemical_formula_sum 'Sc1 Ta1 W2'
_cell_length_a 2.733
_cell_length_b 2.733
_cell_length_c 9.559
_cell_angle_alpha 90.00
_cell_angle_beta 90.00
_cell_angle_gamma 90.00
_symmetry_space_group_name_H-M 'P 4/m m m'
_symmetry_Int_Tables_number 123
_symmetry_space_group_name_Hall '-P 4 2'
loop_
_atom_site_label
_atom_site_type_symbol
_atom_site_fract_x
_atom_site_fract_y
_atom_site_fract_z
Sc1 Sc 0.000 0.000 0.000
Ta1 Ta 0.000 0.000 0.500
W1 W 0.500 0.500 0.253